1.
A relaxed structure of SmYTe. Source: Alexandria via LeMat-Bulk, functional PBE-GGA.

a b c (Å): 3.9145 3.9145 11.7051
angles (deg): 90.00 90.00 90.00
Closest atoms and distances in Å follow each position.
Space group I4mm (No. 107)
Unique sites:
Sm 0.0000 0.0000 0.0000 x2  4 Te 3.36, 5 Y 3.56-3.62
Y 0.0000 0.0000 0.3092 x2  4 Te 3.26, 5 Sm 3.56-3.62
Te 0.0000 0.0000 0.6627 x2  4 Y 3.26, 4 Sm 3.36

Summary:
* E above lowest polymorph: 28 meV per atom
* E_form (uncorrected): -0.792 eV per atom

---

2.
A relaxed structure of Tb2ErIn3Hg6. Source: Alexandria via LeMat-Bulk, functional PBE-GGA.

a b c (Å): 4.2216 4.2216 20.3224
angles (deg): 90.00 90.00 90.00
Closest atoms and distances in Å follow each position.
Space group P4/mmm (No. 123)
Unique sites:
Tb 0.0000 0.0000 0.2164 x2  4 In 3.25, 4 Hg 3.39
Er 0.0000 0.0000 0.5000 x1  8 Hg 3.09
In 0.5000 0.5000 0.0000 x1  2 Hg 2.78
In 0.5000 0.5000 0.2791 x2  5 Hg 2.89-3.07
Hg 0.0000 0.5000 0.3888 x4  4 Hg 2.99, 2 In 3.07, 2 Er 3.09
Hg 0.5000 0.5000 0.1370 x2  2 In 2.78-2.89

Summary:
* formation energy: -0.0524 eV per atom

---

> What is the formula in the first record?

SmYTe